A geometry-optimized LiB2H3O5 structure, computed with PBEsol.

Cell lengths 8.3220, 9.6935, 9.7089 Å; angles 90.00, 90.00, 90.00 degrees
Fractional positions:
1 O 0.6783 0.1412 0.6449
2 O 0.7889 0.4569 0.9899
3 O 0.4717 0.2673 0.1074
4 O 0.8772 0.8084 0.3204
5 O 0.8217 0.6412 0.1449
6 O 0.5748 0.4834 0.6451
7 O 0.7111 0.9569 0.4899
8 O 0.9717 0.7673 0.8926
9 O 0.5283 0.2673 0.3926
10 O 0.1228 0.1916 0.6796
11 O 0.2889 0.9569 0.0101
12 O 0.0748 0.0166 0.8549
13 O 0.5283 0.7327 0.8926
14 O 0.4252 0.5166 0.3549
15 O 0.1783 0.6412 0.3551
16 O 0.2889 0.0431 0.5101
17 O 0.1228 0.8084 0.1796
18 O 0.5748 0.5166 0.1451
19 O 0.0283 0.2327 0.1074
20 O 0.7111 0.0431 0.9899
21 O 0.3217 0.8588 0.3551
22 O 0.8217 0.3588 0.6449
23 O 0.6228 0.6916 0.3204
24 O 0.9252 0.9834 0.1451
25 O 0.2111 0.5431 0.0101
26 O 0.2111 0.4569 0.5101
27 O 0.3772 0.6916 0.1796
28 O 0.3217 0.1412 0.8551
29 O 0.0283 0.7673 0.6074
30 O 0.1783 0.3588 0.8551
31 O 0.9252 0.0166 0.6451
32 O 0.8772 0.1916 0.8204
33 O 0.4717 0.7327 0.6074
34 O 0.4252 0.4834 0.8549
35 O 0.7889 0.5431 0.4899
36 O 0.9717 0.2327 0.3926
37 O 0.6783 0.8588 0.1449
38 O 0.0748 0.9834 0.3549
39 O 0.6228 0.3084 0.8204
40 O 0.3772 0.3084 0.6796
41 B 0.2500 0.2500 0.7664
42 B 0.2262 0.9610 0.4074
43 B 0.7262 0.4610 0.5926
44 B 0.7500 0.2500 0.7336
45 B 0.2500 0.7500 0.2664
46 B 0.5000 0.3934 0.7500
47 B 0.2738 0.5390 0.4074
48 B 0.7500 0.7500 0.2336
49 B 0.5000 0.6066 0.2500
50 B 0.0000 0.1066 0.7500
51 B 0.7738 0.9610 0.0926
52 B 0.7262 0.5390 0.0926
53 B 0.7738 0.0390 0.5926
54 B 0.2262 0.0390 0.9074
55 B 0.0000 0.8934 0.2500
56 B 0.2738 0.4610 0.9074
57 H 0.5032 0.6329 0.6225
58 H 0.7914 0.9018 0.4317
59 H 0.9065 0.2598 0.3138
60 H 0.2086 0.0982 0.5683
61 H 0.9065 0.7402 0.8138
62 H 0.0032 0.1329 0.3775
63 H 0.4065 0.7598 0.6862
64 H 0.7086 0.5982 0.4317
65 H 0.9968 0.1329 0.1225
66 H 0.2914 0.4018 0.5683
67 H 0.4065 0.2402 0.1862
68 H 0.7914 0.0982 0.9317
69 H 0.5935 0.2402 0.3138
70 H 0.2914 0.5982 0.0683
71 H 0.4968 0.3671 0.3775
72 H 0.2086 0.9018 0.0683
73 H 0.5032 0.3671 0.1225
74 H 0.0935 0.7402 0.6862
75 H 0.5935 0.7598 0.8138
76 H 0.9968 0.8671 0.6225
77 H 0.4968 0.6329 0.8775
78 H 0.7086 0.4018 0.9317
79 H 0.0935 0.2598 0.1862
80 H 0.0032 0.8671 0.8775
81 Li 0.5253 0.1671 0.9472
82 Li 0.0253 0.6671 0.0528
83 Li 0.4747 0.8329 0.0528
84 Li 0.4747 0.1671 0.5528
85 Li 0.9747 0.6671 0.4472
86 Li 0.9747 0.3329 0.9472
87 Li 0.5253 0.8329 0.4472
88 Li 0.0253 0.3329 0.5528

total magnetic moment = 0.00 Bohr magnetons per cell
total energy = -6.627 eV per atom
N(E_F) = 0.00 states/eV per atom